Entry from Alexandria: an optimized crystal structure of Sr2Si2Hg (PBE-GGA).

The structure in POSCAR format:
```
Sr2Si2Hg
1.0
3.699 0.000 0.000
0.000 3.699 0.000
1.850 1.850 9.842
Sr Si Hg
2 2 1
Direct
0.387 0.387 0.226 Sr
0.613 0.613 0.774 Sr
0.750 0.250 0.500 Si
0.250 0.750 0.500 Si
0.000 0.000 0.000 Hg
```

Results
Energy relative to the lowest polymorph listed for this composition ... 0.256 eV/atom
E_form (uncorrected) ... -0.8 eV/f.u.
Total magnetic moment ... 0.0 μB per cell
Mass density ... 5.33 g/cm³
Crystal system ... tetragonal

***

Entry from Alexandria: an optimized crystal structure of Sr2SiHg (PBE-GGA).

The structure in POSCAR format:
```
Sr2SiHg
1.0
-0.092 -2.679 -4.107
3.040 -0.213 -3.843
4.635 -6.105 2.031
Hg Si Sr
1 1 2
Direct
0.750 0.750 0.750 Hg
0.250 0.250 0.250 Si
0.989 0.989 0.032 Sr
0.511 0.511 0.468 Sr
```

Results
E_form (uncorrected) ... -0.9 eV/f.u.
Total magnetic moment ... 0.0 μB per cell
Mass density ... 4.84 g/cm³
Crystal system ... monoclinic

***

Entry from Alexandria: an optimized crystal structure of Sr2SiHg (PBE-GGA).

The structure in POSCAR format:
```
Sr2SiHg
1.0
6.331 -0.167 -0.006
4.718 4.225 -0.006
0.006 0.002 4.559
Hg Si Sr
1 1 2
Direct
0.440 0.440 0.625 Hg
0.305 0.305 0.125 Si
0.018 0.018 0.125 Sr
0.736 0.736 0.625 Sr
```

Results
E_form (uncorrected) ... -1.6 eV/f.u.
Total magnetic moment ... 0.0 μB per cell
Mass density ... 5.34 g/cm³
Crystal system ... orthorhombic

***

Entry from Alexandria: an optimized crystal structure of SrSi2Hg (PBE-GGA).

The structure in POSCAR format:
```
SrSi2Hg
1.0
-0.547 -5.893 1.411
4.933 -3.497 -0.669
-2.098 4.989 2.780
Hg Si Sr
1 2 1
Direct
0.763 0.263 0.500 Hg
0.069 0.069 0.000 Si
0.205 0.705 0.500 Si
0.462 0.462 0.000 Sr
```

Results
E_form (uncorrected) ... -0.3 eV/f.u.
Total magnetic moment ... 0.0 μB per cell
Mass density ... 5.70 g/cm³
Crystal system ... orthorhombic